No. 1
First-principles (PBE) data for a geometry-optimized IrPb structure, as listed in Alexandria via LeMat-Bulk.

## Properties
As for the space group: P6_3/mmc (194). The magnetization comes out at 0.00 Bohr magnetons per cell. The formation energy comes out at 146 kJ/mol of formula units.

abc: 4.7075 4.7075 5.4534
angles: 90.00 90.00 120.00
Fractional positions:
Ir (0.3333, 0.6667, 0.2500)
Ir (0.6667, 0.3333, 0.7500)
Pb (0.3333, 0.6667, 0.7500)
Pb (0.6667, 0.3333, 0.2500)

No. 2
First-principles (PBE) data for a geometry-optimized LaMo2Os structure, as listed in Alexandria via LeMat-Bulk.

## Properties
As for the space group: Pmmm (47). For the energy above the most stable polymorph in this dataset, the calculation gives 244 meV/atom. The magnetization comes out at 0.00 Bohr magnetons per cell. The formation energy comes out at 231 kJ/mol of formula units.

abc: 3.2558 4.6958 4.8234
angles: 90.00 90.00 90.00
Fractional positions:
La (0.0000, 0.0000, 0.0000)
Mo (0.0000, 0.5000, 0.5000)
Mo (0.5000, 0.5000, 0.0000)
Os (0.5000, 0.0000, 0.5000)

No. 3
First-principles (PBE) data for a geometry-optimized NaPuHgO5 structure, as listed in Alexandria via LeMat-Bulk.

## Properties
As for the space group: C2/c (15). The energy relative to the elements, uncorrected comes out at -38.834 kcal/mol of atoms. The magnetization comes out at 2.00 Bohr magnetons per cell.

abc: 6.1732 6.1732 8.0515
angles: 106.97 106.97 98.83
Fractional positions:
Na (0.0626, 0.9374, 0.7500)
Na (0.9374, 0.0626, 0.2500)
Pu (0.0000, 0.5000, 0.0000)
Pu (0.5000, 0.0000, 0.5000)
Hg (0.4774, 0.5226, 0.7500)
Hg (0.5226, 0.4774, 0.2500)
O (0.1402, 0.6337, 0.8655)
O (0.2136, 0.7864, 0.2500)
O (0.2341, 0.2826, 0.0139)
O (0.2826, 0.2341, 0.5139)
O (0.3663, 0.8598, 0.6345)
O (0.6337, 0.1402, 0.3655)
O (0.7174, 0.7659, 0.4861)
O (0.7659, 0.7174, 0.9861)
O (0.7864, 0.2136, 0.7500)
O (0.8598, 0.3663, 0.1345)

No. 4
First-principles (PBE) data for a geometry-optimized PmCu8Au3 structure, as listed in Alexandria via LeMat-Bulk.

## Properties
As for the space group: P3m1 (156). The magnetization comes out at 0.00 Bohr magnetons per cell. The formation energy comes out at -146 kJ/mol of formula units.

abc: 5.0186 5.0186 8.1789
angles: 90.00 90.00 120.00
Fractional positions:
Pm (0.0000, 0.0000, 0.0000)
Cu (0.1659, 0.3319, 0.6791)
Cu (0.1659, 0.8341, 0.6791)
Cu (0.3333, 0.6667, 0.4350)
Cu (0.3333, 0.6667, 0.9351)
Cu (0.5024, 0.0048, 0.1972)
Cu (0.5024, 0.4976, 0.1972)
Cu (0.6681, 0.8341, 0.6791)
Cu (0.9952, 0.4976, 0.1972)
Au (0.0000, 0.0000, 0.3800)
Au (0.6667, 0.3333, 0.4989)
Au (0.6667, 0.3333, 0.8654)

No. 5
First-principles (PBE) data for a geometry-optimized CaPr2Ag2 structure, as listed in Alexandria via LeMat-Bulk.

## Properties
As for the space group: P-1 (2). For the energy above the most stable polymorph in this dataset, the calculation gives 81 meV/atom. The magnetization comes out at 0.00 Bohr magnetons per cell. The formation energy comes out at -59 kJ/mol of formula units.

abc: 6.2570 7.4839 8.0581
angles: 115.54 90.11 114.44
Fractional positions:
Ca (0.1182, 0.0006, 0.2489)
Ca (0.8818, 0.9994, 0.7511)
Pr (0.2424, 0.5581, 0.6723)
Pr (0.3148, 0.5581, 0.1733)
Pr (0.6852, 0.4419, 0.8267)
Pr (0.7576, 0.4419, 0.3277)
Ag (0.2800, 0.9124, 0.5524)
Ag (0.3709, 0.0905, 0.9476)
Ag (0.6291, 0.9095, 0.0524)
Ag (0.7200, 0.0876, 0.4476)

No. 6
First-principles (PBE) data for a geometry-optimized La2HO structure, as listed in Alexandria via LeMat-Bulk.

## Properties
As for the space group: R3m (160). For the energy above the most stable polymorph in this dataset, the calculation gives 88 meV/atom. The magnetization comes out at 0.00 Bohr magnetons per cell.

abc: 6.4955 6.4955 6.4955
angles: 33.21 33.21 33.21
Fractional positions:
La (0.0000, 0.0000, 0.0000)
La (0.1823, 0.1823, 0.1823)
H (0.4170, 0.4170, 0.4170)
O (0.5914, 0.5914, 0.5914)

No. 7
First-principles (PBE) data for a geometry-optimized Na2SI structure, as listed in Alexandria via LeMat-Bulk.

## Properties
As for the space group: Fm-3m (225). The energy relative to the elements, uncorrected comes out at -15.327 kcal/mol of atoms. For the energy above the most stable polymorph in this dataset, the calculation gives 103 meV/atom. The magnetization comes out at 0.87 Bohr magnetons per cell.

abc: 5.2813 5.2813 5.2813
angles: 60.00 60.00 60.00
Fractional positions:
Na (0.2500, 0.2500, 0.2500)
Na (0.7500, 0.7500, 0.7500)
S (0.0000, 0.0000, 0.0000)
I (0.5000, 0.5000, 0.5000)

No. 8
First-principles (PBE) data for a geometry-optimized PtW3I structure, as listed in Alexandria via LeMat-Bulk.

## Properties
As for the space group: Pm-3m (221). The energy relative to the elements, uncorrected comes out at 52.775 kcal/mol of atoms. For the energy above the most stable polymorph in this dataset, the calculation gives 0 meV/atom. The magnetization comes out at 0.00 Bohr magnetons per cell.

abc: 4.8741 4.8741 4.8741
angles: 90.00 90.00 90.00
Fractional positions:
Pt (0.0000, 0.0000, 0.0000)
W (0.0000, 0.0000, 0.5000)
W (0.0000, 0.5000, 0.0000)
W (0.5000, 0.0000, 0.0000)
I (0.5000, 0.5000, 0.5000)

No. 9
First-principles (PBE) data for a geometry-optimized HfBe3Pt structure, as listed in Alexandria via LeMat-Bulk.

## Properties
As for the space group: Pm-3m (221). For the energy above the most stable polymorph in this dataset, the calculation gives 1878 meV/atom. The magnetization comes out at 0.00 Bohr magnetons per cell. The formation energy comes out at 906 kJ/mol of formula units.

abc: 4.4575 4.4575 4.4575
angles: 90.00 90.00 90.00
Fractional positions:
Hf (0.0000, 0.0000, 0.0000)
Be (0.0000, 0.0000, 0.5000)
Be (0.0000, 0.5000, 0.0000)
Be (0.5000, 0.0000, 0.0000)
Pt (0.5000, 0.5000, 0.5000)

No. 10
First-principles (PBE) data for a geometry-optimized Pr12Bi3H5 structure, as listed in Alexandria via LeMat-Bulk.

## Properties
As for the space group: Ia-3d (230). The magnetization comes out at 0.00 Bohr magnetons per cell. As for the raw total energy: -4.63 eV/atom.

abc: 14.2558 14.2558 14.2558
angles: 109.47 109.47 109.47
Fractional positions:
Pr (0.0128, 0.2054, 0.1087)
Pr (0.0128, 0.3074, 0.9041)
Pr (0.0959, 0.6087, 0.4032)
Pr (0.0959, 0.9872, 0.6926)
Pr (0.0968, 0.7054, 0.6926)
Pr (0.0968, 0.8913, 0.4041)
Pr (0.1087, 0.0128, 0.2054)
Pr (0.1087, 0.5959, 0.9032)
Pr (0.1926, 0.2054, 0.5968)
Pr (0.1926, 0.4872, 0.5959)
Pr (0.2054, 0.1087, 0.0128)
Pr (0.2054, 0.5968, 0.1926)
Pr (0.2946, 0.3074, 0.9032)
Pr (0.2946, 0.4872, 0.3913)
Pr (0.3074, 0.9032, 0.2946)
Pr (0.3074, 0.9041, 0.0128)
Pr (0.3913, 0.2946, 0.4872)
Pr (0.3913, 0.5968, 0.9041)
Pr (0.4032, 0.0959, 0.6087)
Pr (0.4032, 0.8074, 0.7946)
Pr (0.4041, 0.0968, 0.8913)
Pr (0.4041, 0.8074, 0.5128)
Pr (0.4872, 0.3913, 0.2946)
Pr (0.4872, 0.5959, 0.1926)
Pr (0.5128, 0.4041, 0.8074)
Pr (0.5128, 0.6087, 0.7054)
Pr (0.5959, 0.1926, 0.4872)
Pr (0.5959, 0.9032, 0.1087)
Pr (0.5968, 0.1926, 0.2054)
Pr (0.5968, 0.9041, 0.3913)
Pr (0.6087, 0.4032, 0.0959)
Pr (0.6087, 0.7054, 0.5128)
Pr (0.6926, 0.0959, 0.9872)
Pr (0.6926, 0.0968, 0.7054)
Pr (0.7054, 0.5128, 0.6087)
Pr (0.7054, 0.6926, 0.0968)
Pr (0.7946, 0.4032, 0.8074)
Pr (0.7946, 0.8913, 0.9872)
Pr (0.8074, 0.5128, 0.4041)
Pr (0.8074, 0.7946, 0.4032)
Pr (0.8913, 0.4041, 0.0968)
Pr (0.8913, 0.9872, 0.7946)
Pr (0.9032, 0.1087, 0.5959)
Pr (0.9032, 0.2946, 0.3074)
Pr (0.9041, 0.0128, 0.3074)
Pr (0.9041, 0.3913, 0.5968)
Pr (0.9872, 0.6926, 0.0959)
Pr (0.9872, 0.7946, 0.8913)
Bi (0.1250, 0.2500, 0.3750)
Bi (0.1250, 0.3750, 0.7500)
Bi (0.2500, 0.3750, 0.1250)
Bi (0.2500, 0.8750, 0.6250)
Bi (0.3750, 0.1250, 0.2500)
Bi (0.3750, 0.7500, 0.1250)
Bi (0.6250, 0.2500, 0.8750)
Bi (0.6250, 0.8750, 0.7500)
Bi (0.7500, 0.1250, 0.3750)
Bi (0.7500, 0.6250, 0.8750)
Bi (0.8750, 0.6250, 0.2500)
Bi (0.8750, 0.7500, 0.6250)
H (0.0000, 0.0000, 0.0000)
H (0.0000, 0.0000, 0.5000)
H (0.0000, 0.5000, 0.0000)
H (0.0000, 0.5000, 0.5000)
H (0.1250, 0.7500, 0.8750)
H (0.1250, 0.8750, 0.2500)
H (0.2500, 0.1250, 0.8750)
H (0.2500, 0.6250, 0.3750)
H (0.3750, 0.2500, 0.6250)
H (0.3750, 0.6250, 0.7500)
H (0.5000, 0.0000, 0.0000)
H (0.5000, 0.0000, 0.5000)
H (0.5000, 0.5000, 0.0000)
H (0.5000, 0.5000, 0.5000)
H (0.6250, 0.3750, 0.2500)
H (0.6250, 0.7500, 0.3750)
H (0.7500, 0.3750, 0.6250)
H (0.7500, 0.8750, 0.1250)
H (0.8750, 0.1250, 0.7500)
H (0.8750, 0.2500, 0.1250)

No. 11
First-principles (PBE) data for a geometry-optimized ErCdH8Ir2 structure, as listed in Alexandria via LeMat-Bulk.

## Properties
As for the space group: C2/m (12). The magnetization comes out at 0.00 Bohr magnetons per cell. As for the raw total energy: -4.30 eV/atom.

abc: 4.8585 4.8585 6.0099
angles: 106.72 106.72 52.67
Fractional positions:
Er (0.0000, 0.0000, 0.0000)
Cd (0.5000, 0.5000, 0.5000)
H (0.0791, 0.5668, 0.1664)
H (0.2044, 0.2044, 0.3726)
H (0.4107, 0.4107, 0.8632)
H (0.4332, 0.9209, 0.8336)
H (0.5668, 0.0791, 0.1664)
H (0.5893, 0.5893, 0.1368)
H (0.7956, 0.7956, 0.6274)
H (0.9209, 0.4332, 0.8336)
Ir (0.2214, 0.2214, 0.6617)
Ir (0.7786, 0.7786, 0.3383)

No. 12
First-principles (PBE) data for a geometry-optimized HfPaOs2 structure, as listed in Alexandria via LeMat-Bulk.

## Properties
As for the space group: P4/mmm (123). For the energy above the most stable polymorph in this dataset, the calculation gives 0 meV/atom. The magnetization comes out at 0.00 Bohr magnetons per cell. The formation energy comes out at -161 kJ/mol of formula units.

abc: 3.2149 3.2149 7.2299
angles: 90.00 90.00 90.00
Fractional positions:
Hf (0.0000, 0.0000, 0.0000)
Pa (0.0000, 0.0000, 0.5000)
Os (0.5000, 0.5000, 0.2263)
Os (0.5000, 0.5000, 0.7737)

- What is the formula in the twelfth record?
  HfPaOs2

- Which value of magnetization does entry 4 give?
  0.00 Bohr magnetons per cell

- magnetization of number 4 (PmCu8Au3)?
  0.00 Bohr magnetons per cell

What did the seventh record say?
First-principles (PBE) data for a geometry-optimized Na2SI structure, as listed in Alexandria via LeMat-Bulk.

## Properties
As for the space group: Fm-3m (225). The energy relative to the elements, uncorrected comes out at -15.327 kcal/mol of atoms. For the energy above the most stable polymorph in this dataset, the calculation gives 103 meV/atom. The magnetization comes out at 0.87 Bohr magnetons per cell.

abc: 5.2813 5.2813 5.2813
angles: 60.00 60.00 60.00
Fractional positions:
Na (0.2500, 0.2500, 0.2500)
Na (0.7500, 0.7500, 0.7500)
S (0.0000, 0.0000, 0.0000)
I (0.5000, 0.5000, 0.5000)